## TeWN2F (PBE with a Hubbard U)

Data for a relaxed structure of TeWN2F.

Cell lengths 4.077, 4.077, 4.171 Å; angles 90.00, 90.00, 90.00 degrees
Fractional positions:
N 0.000 0.500 0.000
N 0.500 0.000 0.000
Te 0.500 0.500 0.500
W 0.000 0.000 0.000
F 0.000 0.000 0.500

* space-group type: No. 123
* total magnetization: 0.00 μB per atom
* density of states at the Fermi level: 2.9 states/eV/cell
* ρ: 8585 kg/m³
* distance to the lowest polymorph of the same formula: 0 meV/atom